Record 1
Entry from Alexandria via LeMat-Bulk: a geometry-optimized Mo3Pt4 structure (PBE).

Results
The energy above the most stable polymorph in this dataset is 0 meV per atom.

Unit cell a=10.126 b=10.126 c=10.126 alpha=160.93 beta=160.93 gamma=27.10
Fractional coordinates of all 7 atoms:
Mo (0.000, 0.000, 0.000)
Mo (0.289, 0.289, 0.000)
Mo (0.711, 0.711, 0.000)
Pt (0.143, 0.143, 0.000)
Pt (0.429, 0.429, 0.000)
Pt (0.571, 0.571, 0.000)
Pt (0.857, 0.857, 0.000)

Record 2
Entry from Alexandria via LeMat-Bulk: a geometry-optimized MoPt structure (PBE).

Results
The electronic total energy is -17.26 eV/cell.

Unit cell a=2.806 b=2.806 c=4.553 alpha=90.00 beta=90.00 gamma=120.00
Fractional coordinates of all 2 atoms:
Mo (0.000, 0.000, 0.000)
Pt (0.667, 0.333, 0.500)

Record 3
Entry from Alexandria via LeMat-Bulk: a geometry-optimized MoPt4 structure (PBE).

Results
The electronic total energy is -32.72 eV/cell.

Unit cell a=5.021 b=5.021 c=5.021 alpha=109.47 beta=109.47 gamma=109.47
Fractional coordinates of all 5 atoms:
Mo (0.000, 0.000, 0.000)
Pt (0.000, 0.000, 0.500)
Pt (0.000, 0.500, 0.000)
Pt (0.500, 0.000, 0.000)
Pt (0.500, 0.500, 0.500)

Record 4
Entry from Alexandria via LeMat-Bulk: a geometry-optimized MoPt6 structure (PBE).

Results
The electronic total energy is -91.31 eV/cell.

Unit cell a=5.131 b=5.131 c=9.000 alpha=90.00 beta=90.00 gamma=90.00
Fractional coordinates of all 14 atoms:
Mo (0.250, 0.750, 0.000)
Mo (0.750, 0.250, 0.000)
Pt (0.070, 0.570, 0.360)
Pt (0.070, 0.930, 0.640)
Pt (0.250, 0.250, 0.140)
Pt (0.250, 0.250, 0.860)
Pt (0.430, 0.570, 0.640)
Pt (0.430, 0.930, 0.360)
Pt (0.570, 0.070, 0.640)
Pt (0.570, 0.430, 0.360)
Pt (0.750, 0.750, 0.140)
Pt (0.750, 0.750, 0.860)
Pt (0.930, 0.070, 0.360)
Pt (0.930, 0.430, 0.640)